A relaxed structure of Li2ZrPd4, computed with PBE-GGA.

Structure (CIF):
```
data_Li2ZrPd4
_space_group_name_H-M_alt 'I 4/m m m'
_space_group_IT_number 139
_space_group_name_Hall '-I 4 2'
_cell_length_a 6.2918
_cell_length_b 6.2918
_cell_length_c 5.8802
_cell_angle_alpha 90.00
_cell_angle_beta 90.00
_cell_angle_gamma 90.00
loop_
_atom_site_label
_atom_site_fract_x
_atom_site_fract_y
_atom_site_fract_z
Li1 0.0000 0.5000 0.0000
Zr1 0.0000 0.0000 0.0000
Pd1 0.2500 0.2500 0.2500
```

Results
The value obtained for the energy relative to the lowest polymorph listed for this composition is 0.144 eV per atom. The formation energy comes out at -0.33 eV per atom. The total moment is 0.000 μB/f.u.

---

A relaxed structure of BaZnInAu, computed with PBE-GGA.

Structure (CIF):
```
data_BaZnInAu
_space_group_name_H-M_alt 'R 3 m'
_space_group_IT_number 160
_space_group_name_Hall 'R 3 -2"'
_cell_length_a 4.6500
_cell_length_b 4.6500
_cell_length_c 18.3258
_cell_angle_alpha 90.00
_cell_angle_beta 90.00
_cell_angle_gamma 120.00
loop_
_atom_site_label
_atom_site_fract_x
_atom_site_fract_y
_atom_site_fract_z
Ba1 0.0000 0.0000 0.0000
Zn1 0.0000 0.0000 0.5335
In1 0.0000 0.0000 0.8005
Au1 0.0000 0.0000 0.2002
```

Results
The formation energy comes out at -0.41 eV per atom. The total moment is 0.000 μB/f.u.

---

A relaxed structure of Hf2Be16Re, computed with PBE-GGA.

Structure (CIF):
```
data_Hf2Be16Re
_space_group_name_H-M_alt 'R 3 m'
_space_group_IT_number 160
_space_group_name_Hall 'R 3 -2"'
_cell_length_a 7.6930
_cell_length_b 7.6930
_cell_length_c 11.0036
_cell_angle_alpha 90.00
_cell_angle_beta 90.00
_cell_angle_gamma 120.00
loop_
_atom_site_label
_atom_site_fract_x
_atom_site_fract_y
_atom_site_fract_z
Hf1 0.0000 0.0000 0.0000
Hf2 0.0000 0.0000 0.3168
Be1 0.0000 0.0000 0.7657
Be2 0.0004 0.2894 0.6512
Be3 0.0018 0.5009 0.1531
Be4 0.0023 0.5012 0.8072
Be5 0.1678 0.3356 0.8284
Re1 0.0000 0.0000 0.5610
```

Results
The formation energy comes out at -0.17 eV per atom. The total moment is 0.000 μB/f.u.